(1)
La2ZnSn2Rh5 | PBE | optimized geometry

a = 10.3804 Å, b = 10.3804 Å, c = 3.6638 Å
α = 90.00°, β = 90.00°, γ = 90.00°
With the nearest neighbours (Å) after each atom.
Space group P4/mbm (No. 127)
Symmetry-distinct sites (fractional):
1 La 0.1709 0.3291 0.0000 (multiplicity 4)  3 Sn 2.94-3.14, 6 Rh 3.11-3.28
2 Zn 0.0000 0.0000 0.0000 (multiplicity 2)  8 Rh 2.80
3 Sn 0.1290 0.6290 0.0000 (multiplicity 4)  6 Rh 2.64-2.68, 1 La 2.94
4 Rh 0.0000 0.5000 0.5000 (multiplicity 2)  4 Sn 2.64
5 Rh 0.0557 0.8033 0.5000 (multiplicity 8)  2 Sn 2.68, 2 Zn 2.80, 2 Rh 3.00

Results
The magnetization comes out at 0.000 μB/atom. For the formation energy from the elements, the calculation gives -453 kJ/mol of formula units. As for the mass density: 9.213 g cm⁻³.

=====

(2)
ZrPd2Au2 | PBE | optimized geometry

a = 3.7759 Å, b = 3.7759 Å, c = 13.2764 Å
α = 90.00°, β = 90.00°, γ = 90.00°
With the nearest neighbours (Å) after each atom.
Space group I4/mmm (No. 139)
Symmetry-distinct sites (fractional):
1 Zr 0.0000 0.0000 0.0000 (multiplicity 2)  8 Au 2.99
2 Pd 0.0000 0.5000 0.2500 (multiplicity 4)  4 Pd 2.67, 4 Au 2.74
3 Au 0.0000 0.0000 0.3994 (multiplicity 4)  1 Au 2.67, 4 Pd 2.74, 4 Zr 2.99

Results
The magnetization comes out at 0.000 μB/atom. The value obtained for the energy relative to the lowest polymorph listed for this composition is 392 meV per atom. For the formation energy from the elements, the calculation gives -87 kJ/mol of formula units. As for the mass density: 12.247 g cm⁻³.

=====

(3)
BaLiGaSn2 | PBE | optimized geometry

a = 4.8518 Å, b = 4.8518 Å, c = 11.7329 Å
α = 90.00°, β = 90.00°, γ = 90.00°
With the nearest neighbours (Å) after each atom.
Space group I-4m2 (No. 119)
Symmetry-distinct sites (fractional):
1 Ba 0.0000 0.0000 0.0000 (multiplicity 2)  8 Sn 3.72, 4 Li 3.81, 4 Ga 3.81
2 Li 0.0000 0.5000 0.2500 (multiplicity 2)  4 Sn 2.84
3 Ga 0.0000 0.5000 0.7500 (multiplicity 2)  4 Sn 2.84
4 Sn 0.0000 0.0000 0.3764 (multiplicity 4)  2 Li 2.84, 2 Ga 2.84, 1 Sn 2.90

Results
The magnetization comes out at 0.000 μB/atom. For the formation energy from the elements, the calculation gives -226 kJ/mol of formula units. As for the mass density: 5.428 g cm⁻³.

=====

(4)
Ac3Cu | PBE | optimized geometry

a = 13.0991 Å, b = 13.0991 Å, c = 6.6361 Å
α = 90.00°, β = 90.00°, γ = 90.00°
With the nearest neighbours (Å) after each atom.
Space group I-4 (No. 82)
Symmetry-distinct sites (fractional):
1 Ac 0.0269 0.1361 0.2328 (multiplicity 8)  4 Cu 3.26-3.44, 1 Ac 3.64
2 Ac 0.0846 0.6151 0.9995 (multiplicity 8)  2 Cu 3.33-3.40, 1 Ac 3.70
3 Ac 0.1768 0.7192 0.5149 (multiplicity 8)  3 Cu 3.28-3.56
4 Cu 0.0410 0.2027 0.7318 (multiplicity 8)  9 Ac 3.26-3.56

Results
The magnetization comes out at 0.000 μB/atom. The value obtained for the energy relative to the lowest polymorph listed for this composition is 71 meV per atom. For the formation energy from the elements, the calculation gives 8 kJ/mol of formula units. As for the mass density: 8.686 g cm⁻³.

=====

(5)
Ti3ZnGe | PBE | optimized geometry

a = 5.3399 Å, b = 13.9890 Å, c = 4.6579 Å
α = 90.00°, β = 90.00°, γ = 90.00°
With the nearest neighbours (Å) after each atom.
Space group Cmcm (No. 63)
Symmetry-distinct sites (fractional):
1 Ti 0.0000 0.0000 0.0000 (multiplicity 4)  2 Ti 2.33
2 Ti 0.2453 0.1643 0.2500 (multiplicity 8)  4 Ti 2.62-2.89, 3 Ge 2.64-2.68
3 Zn 0.0000 0.4663 0.2500 (multiplicity 4)  2 Zn 2.51
4 Ge 0.0000 0.1740 0.7500 (multiplicity 4)  8 Ti 2.64-2.70

Results
The magnetization comes out at 0.000 μB/atom. The value obtained for the energy relative to the lowest polymorph listed for this composition is 0 meV per atom. For the formation energy from the elements, the calculation gives -32 kJ/mol of formula units. As for the mass density: 5.377 g cm⁻³.

=====

(6)
Sc3AlHg | PBE | optimized geometry

a = 4.9078 Å, b = 17.9917 Å, c = 4.9099 Å
α = 90.00°, β = 90.00°, γ = 90.00°
With the nearest neighbours (Å) after each atom.
Space group Cmcm (No. 63)
Symmetry-distinct sites (fractional):
1 Sc 0.0000 0.0562 0.2500 (multiplicity 4)  2 Hg 2.99, 2 Al 3.00, 4 Sc 3.18-3.20
2 Sc 0.0000 0.2497 0.2500 (multiplicity 4)  4 Al 3.02-3.03, 4 Hg 3.02-3.03
3 Sc 0.0000 0.4416 0.2500 (multiplicity 4)  2 Hg 2.97, 2 Al 2.97, 4 Sc 3.20-3.23
4 Al 0.0000 0.1516 0.7500 (multiplicity 4)  8 Sc 2.97-3.03
5 Hg 0.0000 0.3485 0.7500 (multiplicity 4)  8 Sc 2.97-3.03

Results
The magnetization comes out at 0.318 μB/atom. The value obtained for the energy relative to the lowest polymorph listed for this composition is 0 meV per atom. For the formation energy from the elements, the calculation gives -152 kJ/mol of formula units. As for the mass density: 5.553 g cm⁻³.